Ga2FeO4 | PBE with a Hubbard U | optimized geometry

abc: 5.8855 5.9936 5.9936
angles: 60.86 60.59 60.59
Last column: nearest neighbours and their distance in Å.
Positions (direct):
Fe: 0.0000 0.5000 0.0000  6 O 2.11-2.15
O: 0.2673 0.2471 0.7471  3 Ga 1.92-2.06, 1 Fe 2.15
O: 0.7327 0.7529 0.2529  3 Ga 1.92-2.06, 1 Fe 2.15
O: 0.7352 0.7627 0.7669  2 Ga 1.88-2.00
O: 0.7386 0.2471 0.7471  3 Ga 1.92-2.06, 1 Fe 2.15
O: 0.7352 0.2669 0.2627  2 Ga 1.88-2.00
Fe: 0.5000 0.5000 0.0000  6 O 2.11-2.15
O: 0.2648 0.2373 0.2331  2 Ga 1.88-2.00
Ga: 0.5000 0.5000 0.5000  6 O 2.00-2.06
Ga: 0.1359 0.1141 0.6141  4 O 1.88-1.92
Ga: 0.5000 0.0000 0.0000  6 O 2.00-2.06
O: 0.2614 0.7529 0.2529  3 Ga 1.92-2.06, 1 Fe 2.15
Ga: 0.8641 0.8859 0.3859  4 O 1.88-1.92
O: 0.2648 0.7331 0.7373  2 Ga 1.88-2.00

magnetization = 8.00 μB per cell
offset from the most stable computed form = 0 meV/atom
calculated volume = 152 Å³ per cell